First-principles (GGA+U) data for an optimized crystal structure of Re2WO8, as listed in the Alexandria database.

## Properties
- Final energy: -87.158 eV/cell
- V: 189.3 Å³/cell
- M_tot: 2.07 μB per cell

Cell and atoms, written as CIF:
```
data_Re2WO8
_cell_length_a 6.127
_cell_length_b 6.127
_cell_length_c 5.454
_cell_angle_alpha 92.19
_cell_angle_beta 92.19
_cell_angle_gamma 67.76
_space_group_name_H-M_alt 'P 1'
_space_group_IT_number 1
loop_
_space_group_symop_operation_xyz
'x,y,z'
loop_
_atom_site_label
_atom_site_type_symbol
_atom_site_fract_x
_atom_site_fract_y
_atom_site_fract_z
Re1 Re 0.204 0.204 0.096
Re2 Re 0.796 0.796 0.904
W1 W 0.000 0.000 0.500
O1 O 0.060 0.701 0.710
O2 O 0.141 0.141 0.780
O3 O 0.299 0.940 0.290
O4 O 0.371 0.371 0.156
O5 O 0.629 0.629 0.844
O6 O 0.701 0.060 0.710
O7 O 0.859 0.859 0.220
O8 O 0.940 0.299 0.290
```